DFT (GGA-PBE) results for AlTeIrI2 after structural relaxation.

Geometry as CIF:
```
data_AlTeIrI2
_chemical_formula_sum 'Al1 Te1 Ir1 I2'
_cell_length_a 5.325
_cell_length_b 5.325
_cell_length_c 5.461
_cell_angle_alpha 90.00
_cell_angle_beta 90.00
_cell_angle_gamma 90.00
_symmetry_space_group_name_H-M 'P 4/m m m'
_symmetry_Int_Tables_number 123
_symmetry_space_group_name_Hall '-P 4 2'
loop_
_atom_site_label
_atom_site_fract_x
_atom_site_fract_y
_atom_site_fract_z
Al1 0.000 0.000 0.000
Te1 0.000 0.000 0.500
Ir1 0.500 0.500 0.500
I1 0.000 0.500 0.000
```

Computed properties:
Formation energy from raw total energies (eV/f.u.): 5.48
Energy above the lowest structure with this stoichiometry (meV per atom): 683
V (Å³ per cell): 154.8
Magnetic moment (μB per formula unit): 2.7

DFT (GGA-PBE) results for AlTl2Ni after structural relaxation.

Geometry as CIF:
```
data_AlTl2Ni
_chemical_formula_sum 'Al2 Tl4 Ni2'
_cell_length_a 6.224
_cell_length_b 6.505
_cell_length_c 4.178
_cell_angle_alpha 90.00
_cell_angle_beta 100.23
_cell_angle_gamma 90.00
_symmetry_space_group_name_H-M 'C 1 2/m 1'
_symmetry_Int_Tables_number 12
loop_
_symmetry_equiv_pos_as_xyz
'x,y,z'
'-x,-y,-z'
'-x,y,-z'
'x,-y,z'
'x+1/2,y+1/2,z'
'-x+1/2,-y+1/2,-z'
'-x+1/2,y+1/2,-z'
'x+1/2,-y+1/2,z'
loop_
_atom_site_label
_atom_site_fract_x
_atom_site_fract_y
_atom_site_fract_z
Al1 0.000 0.000 0.000
Tl1 0.250 0.250 0.500
Ni1 0.000 0.500 0.000
```

Computed properties:
Calculated formation energy (meV per atom): 420
Energy above the lowest structure with this stoichiometry (meV per atom): 392
V (Å³ per cell): 166.4
Magnetic moment (μB per formula unit): 0.0

DFT (GGA-PBE) results for GeCl2O after structural relaxation.

Geometry as CIF:
```
data_GeCl2O
_chemical_formula_sum 'Ge4 Cl8 O4'
_cell_length_a 6.616
_cell_length_b 6.616
_cell_length_c 6.616
_cell_angle_alpha 90.00
_cell_angle_beta 90.00
_cell_angle_gamma 90.00
_symmetry_space_group_name_H-M 'F m -3 m'
_symmetry_Int_Tables_number 225
_symmetry_space_group_name_Hall '-F 4 2 3'
loop_
_atom_site_label
_atom_site_fract_x
_atom_site_fract_y
_atom_site_fract_z
Ge1 0.000 0.000 0.000
Cl1 0.250 0.250 0.250
O1 0.000 0.000 0.500
```

Computed properties:
Formation energy from raw total energies (eV/f.u.): 1.12
Energy above the lowest structure with this stoichiometry (meV per atom): 1457
V (Å³ per cell): 289.6
Magnetic moment (μB per formula unit): 2.0

DFT (GGA-PBE) results for Ag2Au after structural relaxation.

Geometry as CIF:
```
data_Ag2Au
_chemical_formula_sum 'Ag4 Au2'
_cell_length_a 4.7540
_cell_length_b 4.7540
_cell_length_c 5.6333
_cell_angle_alpha 90.00
_cell_angle_beta 90.00
_cell_angle_gamma 120.00
_symmetry_space_group_name_H-M 'P 63/m m c'
_symmetry_Int_Tables_number 194
_symmetry_space_group_name_Hall '-P 6c 2c'
loop_
_atom_site_label
_atom_site_fract_x
_atom_site_fract_y
_atom_site_fract_z
Ag1 0.0000 0.0000 0.0000
Ag2 0.3333 0.6667 0.2500
Au1 0.3333 0.6667 0.7500
```

Computed properties:
Calculated formation energy (meV per atom): 27
Energy above the lowest structure with this stoichiometry (meV per atom): 64
V (Å³ per cell): 110.3
Magnetic moment (μB per formula unit): 0.0

DFT (GGA-PBE) results for Be8AlAs6 after structural relaxation.

Geometry as CIF:
```
data_Be8AlAs6
_chemical_formula_sum 'Be16 Al2 As12'
_cell_length_a 6.6798
_cell_length_b 6.6798
_cell_length_c 12.1840
_cell_angle_alpha 90.00
_cell_angle_beta 90.00
_cell_angle_gamma 120.00
_symmetry_space_group_name_H-M 'P 63 c m'
_symmetry_Int_Tables_number 185
_symmetry_space_group_name_Hall 'P 6c -2'
loop_
_atom_site_label
_atom_site_fract_x
_atom_site_fract_y
_atom_site_fract_z
Be1 0.0000 0.3316 0.0000
Be2 0.0000 0.3519 0.3677
Be3 0.3333 0.6667 0.1233
Al1 0.0000 0.0000 0.2020
As1 0.0000 0.0000 0.4282
As2 0.0000 0.3652 0.1840
As3 0.3333 0.6667 0.4325
```

Computed properties:
Calculated formation energy (meV per atom): -2
V (Å³ per cell): 470.8
Magnetic moment (μB per formula unit): 0.0

DFT (GGA-PBE) results for V8Co2Si after structural relaxation.

Geometry as CIF:
```
data_V8Co2Si
_chemical_formula_sum 'V16 Co4 Si2'
_cell_length_a 10.863
_cell_length_b 4.772
_cell_length_c 5.851
_cell_angle_alpha 90.00
_cell_angle_beta 107.98
_cell_angle_gamma 90.00
_symmetry_space_group_name_H-M 'C 1 2/m 1'
_symmetry_Int_Tables_number 12
loop_
_symmetry_equiv_pos_as_xyz
'x,y,z'
'-x,-y,-z'
'-x,y,-z'
'x,-y,z'
'x+1/2,y+1/2,z'
'-x+1/2,-y+1/2,-z'
'-x+1/2,y+1/2,-z'
'x+1/2,-y+1/2,z'
loop_
_atom_site_label
_atom_site_fract_x
_atom_site_fract_y
_atom_site_fract_z
V1 0.091 0.000 0.429
V2 0.098 0.244 0.908
V3 0.180 0.500 0.298
Co1 0.227 0.500 0.712
Si1 0.000 0.500 0.500
```

Computed properties:
Formation energy from raw total energies (eV/f.u.): 0.15
V (Å³ per cell): 288.5
Magnetic moment (μB per formula unit): 0.0

DFT (GGA-PBE) results for Zr2MnHg after structural relaxation.

Geometry as CIF:
```
data_Zr2MnHg
_chemical_formula_sum 'Zr4 Mn2 Hg2'
_cell_length_a 5.746
_cell_length_b 3.273
_cell_length_c 8.772
_cell_angle_alpha 90.00
_cell_angle_beta 101.70
_cell_angle_gamma 90.00
_symmetry_space_group_name_H-M 'C 1 2/m 1'
_symmetry_Int_Tables_number 12
loop_
_symmetry_equiv_pos_as_xyz
'x,y,z'
'-x,-y,-z'
'-x,y,-z'
'x,-y,z'
'x+1/2,y+1/2,z'
'-x+1/2,-y+1/2,-z'
'-x+1/2,y+1/2,-z'
'x+1/2,-y+1/2,z'
loop_
_atom_site_label
_atom_site_fract_x
_atom_site_fract_y
_atom_site_fract_z
Zr1 0.241 0.000 0.211
Mn1 0.000 0.500 0.000
Hg1 0.000 0.000 0.500
```

Computed properties:
Calculated formation energy (meV per atom): 61
V (Å³ per cell): 161.6
Magnetic moment (μB per formula unit): 0.5

DFT (GGA-PBE) results for Cs2CrIrCl6 after structural relaxation.

Geometry as CIF:
```
data_Cs2CrIrCl6
_chemical_formula_sum 'Cs4 Cr2 Ir2 Cl12'
_cell_length_a 7.138
_cell_length_b 7.138
_cell_length_c 10.139
_cell_angle_alpha 90.00
_cell_angle_beta 90.00
_cell_angle_gamma 90.00
_symmetry_space_group_name_H-M 'I 4/m m m'
_symmetry_Int_Tables_number 139
_symmetry_space_group_name_Hall '-I 4 2'
loop_
_atom_site_label
_atom_site_fract_x
_atom_site_fract_y
_atom_site_fract_z
Cs1 0.000 0.500 0.250
Cr1 0.000 0.000 0.000
Ir1 0.000 0.000 0.500
Cl1 0.000 0.000 0.257
Cl2 0.244 0.244 0.500
```

Computed properties:
Formation energy from raw total energies (eV/f.u.): -10.62
V (Å³ per cell): 516.5
Magnetic moment (μB per formula unit): 5.0

DFT (GGA-PBE) results for Pm2Ni2Ir after structural relaxation.

Geometry as CIF:
```
data_Pm2Ni2Ir
_chemical_formula_sum 'Pm4 Ni4 Ir2'
_cell_length_a 4.441
_cell_length_b 5.026
_cell_length_c 8.611
_cell_angle_alpha 90.00
_cell_angle_beta 90.00
_cell_angle_gamma 90.00
_symmetry_space_group_name_H-M 'I m m m'
_symmetry_Int_Tables_number 71
_symmetry_space_group_name_Hall '-I 2 2'
loop_
_atom_site_label
_atom_site_fract_x
_atom_site_fract_y
_atom_site_fract_z
Pm1 0.000 0.000 0.196
Ni1 0.000 0.254 0.500
Ir1 0.000 0.500 0.000
```

Computed properties:
Calculated formation energy (meV per atom): -480
V (Å³ per cell): 192.2
Magnetic moment (μB per formula unit): 0.0

DFT (GGA-PBE) results for Sm5Tm3H12 after structural relaxation.

Geometry as CIF:
```
data_Sm5Tm3H12
_chemical_formula_sum 'Sm40 Tm24 H96'
_cell_length_a 13.200
_cell_length_b 13.200
_cell_length_c 13.200
_cell_angle_alpha 90.00
_cell_angle_beta 90.00
_cell_angle_gamma 90.00
_symmetry_space_group_name_H-M 'I a -3 d'
_symmetry_Int_Tables_number 230
_symmetry_space_group_name_Hall '-I 4bd 2c 3'
loop_
_atom_site_label
_atom_site_fract_x
_atom_site_fract_y
_atom_site_fract_z
Sm1 0.000 0.000 0.000
Sm2 0.000 0.250 0.375
Tm1 0.000 0.250 0.125
H1 0.002 0.069 0.158
```

Computed properties:
Electronic total energy (eV/atom): -4.30
V (Å³ per cell): 2300.1
Magnetic moment (μB per formula unit): 0.0

- Among the records above, which one has the highest V?
  Sm5Tm3H12

Please write out number 3 again, unchanged.
DFT (GGA-PBE) results for GeCl2O after structural relaxation.

Geometry as CIF:
```
data_GeCl2O
_chemical_formula_sum 'Ge4 Cl8 O4'
_cell_length_a 6.616
_cell_length_b 6.616
_cell_length_c 6.616
_cell_angle_alpha 90.00
_cell_angle_beta 90.00
_cell_angle_gamma 90.00
_symmetry_space_group_name_H-M 'F m -3 m'
_symmetry_Int_Tables_number 225
_symmetry_space_group_name_Hall '-F 4 2 3'
loop_
_atom_site_label
_atom_site_fract_x
_atom_site_fract_y
_atom_site_fract_z
Ge1 0.000 0.000 0.000
Cl1 0.250 0.250 0.250
O1 0.000 0.000 0.500
```

Computed properties:
Formation energy from raw total energies (eV/f.u.): 1.12
Energy above the lowest structure with this stoichiometry (meV per atom): 1457
V (Å³ per cell): 289.6
Magnetic moment (μB per formula unit): 2.0